Ca2Pm5Sb4: relaxed, PBE.

extended XYZ file:
```
11
Lattice="4.430 0.000 0.000 0.000 7.795 -0.995 -2.215 -3.494 11.047" Properties=species:S:1:pos:R:3 pbc="T T T"
Ca 0.000 0.617 9.021
Sb 0.000 5.751 -0.228
Sb 2.215 3.833 4.069
Pm 0.000 1.642 3.054
Ca 2.215 3.684 1.031
Pm 2.215 -1.557 7.115
Pm 2.215 0.000 0.000
Sb 0.000 0.468 5.984
Pm 0.000 5.858 2.938
Sb 2.215 -1.450 10.281
Pm 2.215 2.660 6.999
```

## Properties
V in Å³/f.u.: 366
Calculated total energy in eV/atom: -4.687

YTc2W: relaxed, PBE.

extended XYZ file:
```
4
Lattice="9.819 -0.002 -0.001 9.393 2.861 -0.001 9.393 1.398 2.497" Properties=species:S:1:pos:R:3 pbc="T T T"
Tc 28.339 4.218 2.471
W 14.537 2.164 1.268
Y 21.404 3.186 1.867
Tc 7.231 1.076 0.631
```

## Properties
Formation energy in meV/atom: 508
V in Å³/f.u.: 70

Cs2H2SI2: relaxed, PBE.

extended XYZ file:
```
7
Lattice="-0.129 -4.252 2.795 4.990 -4.275 -3.418 9.770 -0.060 0.357" Properties=species:S:1:pos:R:3 pbc="T T T"
H 4.838 -7.301 0.244
I 9.820 -3.090 -1.525
I 4.811 -5.498 1.259
Cs 12.236 -6.446 -1.754
Cs 2.396 -2.142 1.488
S 0.000 0.000 0.000
H 9.794 -1.287 -0.510
```

## Properties
V in Å³/f.u.: 266
Calculated total energy in eV/atom: -2.971